VASP calculation (PBE-GGA) on a geometry-optimized SrCdBr4 structure.

Calculated values
- SG: F-43m
- M_tot: 2.06 μB/cell
- V: 32.58 Å³/atom
- Relative energy among the computed polymorphs: 1.047 eV per atom
- E_form (uncorrected): -0.41 eV/atom
- Electronic total energy: -1.961 eV per atom

a b c (Å): 6.514 6.514 6.514
angles (deg): 60.00 60.00 60.00
Fractional coordinates of all 6 atoms:
1 Sr 0.000 0.000 0.000
2 Cd 0.250 0.250 0.250
3 Br 0.126 0.625 0.625
4 Br 0.625 0.126 0.625
5 Br 0.625 0.625 0.126
6 Br 0.625 0.625 0.625

---

VASP calculation (PBE-GGA) on a geometry-optimized Sr2CdBr2 structure.

Calculated values
- SG: I4/mmm
- M_tot: 3.17 μB/cell
- V: 36.60 Å³/atom
- E_form (uncorrected): -1.01 eV/atom
- Electronic total energy: -2.535 eV per atom

a b c (Å): 6.040 6.040 10.033
angles (deg): 90.00 90.00 90.00
Fractional coordinates of all 10 atoms:
1 Sr 0.000 0.500 0.250
2 Sr 0.000 0.500 0.750
3 Sr 0.500 0.000 0.250
4 Sr 0.500 0.000 0.750
5 Cd 0.000 0.000 0.000
6 Cd 0.500 0.500 0.500
7 Br 0.000 0.000 0.329
8 Br 0.000 0.000 0.671
9 Br 0.500 0.500 0.171
10 Br 0.500 0.500 0.829

---

VASP calculation (PBE-GGA) on a geometry-optimized SrCdBr3 structure.

Calculated values
- SG: Pm-3m
- M_tot: 0.91 μB/cell
- V: 41.91 Å³/atom
- Relative energy among the computed polymorphs: 0.000 eV per atom
- E_form (uncorrected): -1.11 eV/atom
- Electronic total energy: -2.634 eV per atom

a b c (Å): 5.940 5.940 5.940
angles (deg): 90.00 90.00 90.00
Fractional coordinates of all 5 atoms:
1 Sr 0.000 0.000 0.000
2 Cd 0.500 0.500 0.500
3 Br 0.000 0.000 0.500
4 Br 0.000 0.500 0.000
5 Br 0.500 0.000 0.000

---

Number 1: DOS at the Fermi energy 0.65 states/eV per atom. Number 2: DOS at the Fermi energy 0.56 states/eV per atom. Number 3: DOS at the Fermi energy 0.41 states/eV per atom.